# 1
DFT (PBE-GGA) results for a relaxed YZr2Sc crystal.

Values from the calculation:
Size of the total moment (μB/atom): 0.0000
Formation energy from the elements (eV/atom): 0.240
Distance to the lowest polymorph of the same formula (eV per atom): 0.211

a b c (Å): 5.2172 5.2172 5.2172
angles (deg): 60.00 60.00 60.00
Atoms (fractional coordinates):
Zr 0.2500 0.2500 0.2500
Y 0.5000 0.5000 0.5000
Sc 0.0000 0.0000 0.0000
Zr 0.7500 0.7500 0.7500

***

# 2
DFT (PBE-GGA) results for a relaxed Y2ZrSc crystal.

Values from the calculation:
Size of the total moment (μB/atom): 0.0000
Formation energy from the elements (eV/atom): 0.093
Distance to the lowest polymorph of the same formula (eV per atom): 0.046

a b c (Å): 5.8320 5.8320 5.9177
angles (deg): 80.71 80.71 33.65
Atoms (fractional coordinates):
Sc 0.7561 0.7561 0.7373
Y 0.0032 0.0032 0.9918
Zr 0.4954 0.4954 0.5070
Y 0.2453 0.2453 0.2640

***

# 3
DFT (PBE-GGA) results for a relaxed YZr3Sc crystal.

Values from the calculation:
Size of the total moment (μB/atom): 0.0000
Formation energy from the elements (eV/atom): 1.214
Distance to the lowest polymorph of the same formula (eV per atom): 0.374

a b c (Å): 5.2010 5.2010 5.2010
angles (deg): 90.00 90.00 90.00
Atoms (fractional coordinates):
Zr 0.0000 0.0000 0.5000
Sc 0.5000 0.5000 0.5000
Y 0.0000 0.0000 0.0000
Zr 0.0000 0.5000 0.0000
Zr 0.5000 0.0000 0.0000

***

# 4
DFT (PBE-GGA) results for a relaxed Y2ZrSc crystal.

Values from the calculation:
Size of the total moment (μB/atom): 0.0000
Formation energy from the elements (eV/atom): 0.084
Distance to the lowest polymorph of the same formula (eV per atom): 0.036

a b c (Å): 11.2874 11.2874 11.2874
angles (deg): 17.27 17.27 17.27
Atoms (fractional coordinates):
Y 0.2445 0.2445 0.2445
Sc 0.7550 0.7550 0.7550
Zr 0.4970 0.4970 0.4970
Y 0.0036 0.0036 0.0036

***

# 5
DFT (PBE-GGA) results for a relaxed Y2ZrSc crystal.

Values from the calculation:
Size of the total moment (μB/atom): 0.6239
Formation energy from the elements (eV/atom): 0.193
Distance to the lowest polymorph of the same formula (eV per atom): 0.146

a b c (Å): 5.4021 5.4021 5.4021
angles (deg): 60.00 60.00 60.00
Atoms (fractional coordinates):
Y 0.7500 0.7500 0.7500
Zr 0.5000 0.5000 0.5000
Y 0.2500 0.2500 0.2500
Sc 0.0000 0.0000 0.0000

***

# 6
DFT (PBE-GGA) results for a relaxed YZr2Sc crystal.

Values from the calculation:
Size of the total moment (μB/atom): 0.0000
Formation energy from the elements (eV/atom): 0.086
Distance to the lowest polymorph of the same formula (eV per atom): 0.057

a b c (Å): 3.3052 3.3052 10.8243
angles (deg): 81.22 81.22 60.00
Atoms (fractional coordinates):
Sc 0.6666 0.6666 0.0001
Y 0.4999 0.4999 0.5004
Zr 0.2528 0.2528 0.2417
Zr 0.0807 0.0807 0.7578

***

# 7
DFT (PBE-GGA) results for a relaxed Y2ZrSc crystal.

Values from the calculation:
Size of the total moment (μB/atom): 0.0001
Formation energy from the elements (eV/atom): 0.095
Distance to the lowest polymorph of the same formula (eV per atom): 0.048

a b c (Å): 3.4273 3.4273 11.0869
angles (deg): 81.11 81.11 60.00
Atoms (fractional coordinates):
Y 0.0852 0.0852 0.7445
Sc 0.6663 0.6663 0.0010
Y 0.2481 0.2481 0.2558
Zr 0.5004 0.5004 0.4987

***

# 8
DFT (PBE-GGA) results for a relaxed YZr2Sc3 crystal.

Values from the calculation:
Size of the total moment (μB/atom): 0.0000
Formation energy from the elements (eV/atom): 0.032

a b c (Å): 3.3075 8.8746 10.4786
angles (deg): 90.00 90.00 100.74
Atoms (fractional coordinates):
Zr 0.4465 0.8930 0.7500
Sc 0.1023 0.2046 0.7500
Sc 0.3430 0.6860 0.0064
Sc 0.3430 0.6860 0.4936
Sc 0.6570 0.3140 0.5064
Sc 0.6570 0.3140 0.9936
Zr 0.5535 0.1070 0.2500
Zr 0.0000 0.0000 0.0000
Y 0.2205 0.4411 0.2500
Sc 0.8977 0.7954 0.2500
Zr 0.0000 0.0000 0.5000
Y 0.7795 0.5589 0.7500

***

# 9
DFT (PBE-GGA) results for a relaxed Y2ZrSc crystal.

Values from the calculation:
Size of the total moment (μB/atom): 0.2756
Formation energy from the elements (eV/atom): 0.540
Distance to the lowest polymorph of the same formula (eV per atom): 0.492

a b c (Å): 8.3232 8.3232 6.7205
angles (deg): 51.74 51.74 90.00
Atoms (fractional coordinates):
Sc 0.5000 0.5000 0.0000
Zr 0.7500 0.2500 0.5000
Y 0.3750 0.3773 0.7500
Sc 0.2500 0.7500 0.5000
Y 0.8750 0.8727 0.7500
Zr 0.0000 0.0000 0.0000
Y 0.6227 0.1250 0.2500
Y 0.1273 0.6250 0.2500

***

# 10
DFT (PBE-GGA) results for a relaxed Y2Zr2Sc crystal.

Values from the calculation:
Size of the total moment (μB/atom): 0.0000
Formation energy from the elements (eV/atom): 0.208

a b c (Å): 8.3998 8.3998 3.8486
angles (deg): 90.00 90.00 90.00
Atoms (fractional coordinates):
Zr 0.8716 0.6284 0.0000
Y 0.1663 0.6663 0.5000
Y 0.3337 0.1663 0.5000
Y 0.8337 0.3337 0.5000
Zr 0.3716 0.8716 0.0000
Sc 0.5000 0.5000 0.0000
Zr 0.6284 0.1284 0.0000
Sc 0.0000 0.0000 0.0000
Y 0.6663 0.8337 0.5000
Zr 0.1284 0.3716 0.0000

***

# 11
DFT (PBE-GGA) results for a relaxed YZrSc2 crystal.

Values from the calculation:
Size of the total moment (μB/atom): 0.0000
Formation energy from the elements (eV/atom): 0.071
Distance to the lowest polymorph of the same formula (eV per atom): 0.043

a b c (Å): 3.3005 3.3006 9.4678
angles (deg): 90.00 90.00 90.02
Atoms (fractional coordinates):
Y 0.0000 0.0000 0.5066
Sc 0.5000 0.5000 0.2393
Sc 0.0000 0.0000 0.9902
Zr 0.5000 0.5000 0.7639

***

# 12
DFT (PBE-GGA) results for a relaxed YZrSc2 crystal.

Values from the calculation:
Size of the total moment (μB/atom): 0.2131
Formation energy from the elements (eV/atom): 0.144
Distance to the lowest polymorph of the same formula (eV per atom): 0.117

a b c (Å): 5.2465 5.2465 5.2465
angles (deg): 60.00 60.00 60.00
Atoms (fractional coordinates):
Sc 0.7500 0.7500 0.7500
Zr 0.5000 0.5000 0.5000
Y 0.0000 0.0000 0.0000
Sc 0.2500 0.2500 0.2500

***

Look up the size of the total moment of the seventh one.
0.0001 μB/atom

***

What is the formula in the seventh record?
Y2ZrSc

***

Which of these has the highest size of the total moment?
number 5